1.
TlHgS2 after structural relaxation, computed with PBE-GGA.

Unit cell a=6.2089 b=6.2089 c=7.6166 alpha=65.95 beta=65.95 gamma=90.00
Closest atoms and distances in Å follow each position.
Element x y z (fractional)
S: 0.6041 0.1250 0.2500  2 Hg 2.62, 2 Tl 2.77
S: 0.3750 0.3959 0.7500  2 Hg 2.62, 2 Tl 2.77
S: 0.8750 0.8541 0.7500  2 Hg 2.62, 2 Tl 2.77
S: 0.1459 0.6250 0.2500  2 Hg 2.62, 2 Tl 2.77
Hg: 0.5000 0.5000 0.0000  4 S 2.62
Hg: 0.2500 0.7500 0.5000  4 S 2.62
Tl: 0.7500 0.2500 0.5000  4 S 2.77
Tl: 0.0000 0.0000 0.0000  4 S 2.77

=====

2.
TlHg2S8 after structural relaxation, computed with PBE-GGA.

Unit cell a=5.3216 b=5.3122 c=13.2993 alpha=64.03 beta=72.18 gamma=87.38
Closest atoms and distances in Å follow each position.
Element x y z (fractional)
S: 0.8093 0.1687 0.7259  1 S 2.06
S: 0.1907 0.8313 0.2741  1 S 2.06
S: 0.8068 0.4694 0.0272  1 S 1.95
S: 0.8708 0.7627 0.7496  2 S 1.99-2.06
S: 0.1292 0.2373 0.2504  2 S 1.99-2.06
S: 0.1932 0.5306 0.9728  1 S 1.95
S: 0.7442 0.2772 0.2762  1 S 1.99
S: 0.2558 0.7228 0.7238  1 S 1.99
Hg: 0.7158 0.5984 0.4051  2 S 2.58-2.87, 1 Hg 2.66
Hg: 0.2842 0.4016 0.5949  2 S 2.58-2.87, 1 Hg 2.66
Tl: 0.5000 0.0000 0.0000  6 S 3.13-3.25

=====

3.
TlHg3S4 after structural relaxation, computed with PBE-GGA.

Unit cell a=7.0134 b=7.5044 c=8.6623 alpha=90.00 beta=90.00 gamma=90.00
Closest atoms and distances in Å follow each position.
Element x y z (fractional)
S: 0.6053 0.1631 0.0000  3 Hg 2.59-2.61, 1 Tl 2.80
S: 0.1313 0.3408 0.7380  3 Hg 2.59-2.62, 1 Tl 2.76
S: 0.6313 0.6592 0.7620  3 Hg 2.59-2.62, 1 Tl 2.76
S: 0.6313 0.6592 0.2380  3 Hg 2.59-2.62, 1 Tl 2.76
S: 0.1313 0.3408 0.2620  3 Hg 2.59-2.62, 1 Tl 2.76
S: 0.1296 0.8171 0.0000  3 Hg 2.60-2.62, 1 Tl 2.78
S: 0.1053 0.8369 0.5000  3 Hg 2.59-2.61, 1 Tl 2.80
S: 0.6296 0.1829 0.5000  3 Hg 2.60-2.62, 1 Tl 2.78
Tl: 0.0047 0.1680 0.0000  4 S 2.76-2.80
Tl: 0.5047 0.8320 0.5000  4 S 2.76-2.80
Hg: 0.0049 0.6657 0.7498  4 S 2.60-2.62
Hg: 0.5049 0.3343 0.2498  4 S 2.60-2.62
Hg: 0.5049 0.3343 0.7502  4 S 2.60-2.62
Hg: 0.0049 0.6657 0.2502  4 S 2.60-2.62
Hg: 0.0033 0.1692 0.5000  4 S 2.59-2.62
Hg: 0.5033 0.8308 0.0000  4 S 2.59-2.62

=====

no.,energy (eV per cell),Fermi-level density of states (states/eV per cell),formation energy from raw total energies (eV per atom)
1,-22.65,4.15,-0.10
2,-35.48,4.26,0.05
3,-41.19,8.75,-0.10